The following is a DFT calculation (GGA-PBE) of Ca3Ga3Au2 after structural relaxation.

Summary:
Final energy = -3.30 eV per atom
Formation enthalpy at 0 K = -0.596 eV/atom

a = 5.841 Å, b = 8.225 Å, c = 15.668 Å
α = 90.00°, β = 90.00°, γ = 90.00°
Positions (direct):
Ca  0.121  0.457  0.392
Ca  0.621  0.043  0.608
Ca  0.879  0.543  0.892
Ca  0.379  0.957  0.108
Ca  0.879  0.543  0.608
Ca  0.379  0.957  0.392
Ca  0.121  0.457  0.108
Ca  0.621  0.043  0.892
Ca  0.626  0.316  0.250
Ca  0.126  0.184  0.750
Ca  0.374  0.684  0.750
Ca  0.874  0.816  0.250
Ga  0.130  0.162  0.250
Ga  0.630  0.338  0.750
Ga  0.870  0.838  0.750
Ga  0.370  0.662  0.250
Ga  0.614  0.313  0.463
Ga  0.114  0.187  0.537
Ga  0.386  0.687  0.963
Ga  0.886  0.813  0.037
Ga  0.386  0.687  0.537
Ga  0.886  0.813  0.463
Ga  0.614  0.313  0.037
Ga  0.114  0.187  0.963
Au  0.885  0.099  0.390
Au  0.385  0.401  0.610
Au  0.115  0.901  0.890
Au  0.615  0.599  0.110
Au  0.115  0.901  0.610
Au  0.615  0.599  0.390
Au  0.885  0.099  0.110
Au  0.385  0.401  0.890

***

The following is a DFT calculation (GGA-PBE) of YReAu2 after structural relaxation.

Summary:
Final energy = -6.29 eV per atom
Formation enthalpy at 0 K = 0.076 eV/atom
Energy above the most stable polymorph in this dataset = 49 meV per atom

a = 3.563 Å, b = 3.563 Å, c = 6.174 Å
α = 90.00°, β = 90.00°, γ = 90.00°
Positions (direct):
Au  0.000  0.000  0.012
Au  0.500  0.500  0.272
Re  0.000  0.000  0.464
Y  0.500  0.500  0.752

***

The following is a DFT calculation (GGA-PBE) of SnPt3Pb after structural relaxation.

Summary:
Final energy = -5.44 eV per atom
Formation enthalpy at 0 K = -0.275 eV/atom
Energy above the most stable polymorph in this dataset = 0 meV per atom

a = 5.818 Å, b = 7.735 Å, c = 5.818 Å
α = 112.14°, β = 120.00°, γ = 90.00°
Positions (direct):
Sn  0.830  0.990  0.660
Sn  0.170  0.010  0.340
Pt  0.901  0.690  0.288
Pt  0.099  0.310  0.199
Pt  0.388  0.690  0.288
Pt  0.612  0.310  0.712
Pt  0.099  0.310  0.712
Pt  0.901  0.690  0.801
Pb  0.388  0.664  0.776
Pb  0.612  0.336  0.224

***

The following is a DFT calculation (GGA-PBE) of DyCd8Hg6 after structural relaxation.

Summary:
Final energy = -0.93 eV per atom
Formation enthalpy at 0 K = -0.012 eV/atom
Energy above the most stable polymorph in this dataset = 24 meV per atom

a = 8.518 Å, b = 8.518 Å, c = 7.978 Å
α = 57.74°, β = 57.74°, γ = 60.00°
Positions (direct):
Dy  0.000  0.000  0.000
Cd  0.569  0.243  0.330
Cd  0.757  0.142  0.670
Cd  0.142  0.431  0.670
Cd  0.654  0.654  0.037
Cd  0.346  0.346  0.963
Cd  0.858  0.569  0.330
Cd  0.243  0.858  0.330
Cd  0.431  0.757  0.670
Hg  0.416  0.035  0.798
Hg  0.965  0.249  0.202
Hg  0.249  0.584  0.202
Hg  0.751  0.416  0.798
Hg  0.035  0.751  0.798
Hg  0.584  0.965  0.202

***

The following is a DFT calculation (GGA-PBE) of GaMoPb2Se after structural relaxation.

Summary:
Formation energy without anion corrections = 0.4933 eV/atom
Final energy = -4.46 eV per atom

a = 5.445 Å, b = 4.938 Å, c = 5.445 Å
α = 90.00°, β = 90.00°, γ = 90.00°
Each line ends with the local moment (μB).
Positions (direct):
Pb  0.000  0.000  0.500  0.03
Pb  0.500  0.000  0.000  -0.03
Mo  0.000  0.000  0.000  1.31
Ga  0.000  0.500  0.000  0.01
Se  0.500  0.500  0.500  0.38

***

The following is a DFT calculation (GGA-PBE) of IBr4 after structural relaxation.

Summary:
Formation energy without anion corrections = -0.0069 eV/atom
Final energy = -1.66 eV per atom
Energy above the most stable polymorph in this dataset = 0 meV per atom

a = 6.195 Å, b = 8.750 Å, c = 11.417 Å
α = 118.88°, β = 79.54°, γ = 119.56°
Positions (direct):
I  0.571  0.345  0.754
I  0.280  0.336  0.251
Br  0.723  0.590  0.627
Br  0.213  0.004  0.334
Br  0.981  0.606  0.918
Br  0.051  0.093  0.557
Br  0.405  0.883  0.093
Br  0.365  0.583  0.166
Br  0.415  0.099  0.853
Br  0.997  0.459  0.447

***

The following is a DFT calculation (GGA-PBE) of VHAu3 after structural relaxation.

Summary:
Final energy = -4.12 eV per atom
Energy above the most stable polymorph in this dataset = 0 meV per atom

a = 4.207 Å, b = 4.207 Å, c = 4.207 Å
α = 90.00°, β = 90.00°, γ = 90.00°
Each line ends with the local moment (μB).
Positions (direct):
H  0.000  0.000  0.000  0.00
Au  0.000  0.500  0.000  0.09
Au  0.000  0.000  0.500  0.09
Au  0.500  0.000  0.000  0.09
V  0.500  0.500  0.500  2.67

***

The following is a DFT calculation (GGA-PBE) of SrEuTlSb after structural relaxation.

Summary:
Formation energy without anion corrections = -0.6179 eV/atom
Final energy = -5.23 eV per atom

a = 5.689 Å, b = 5.689 Å, c = 5.689 Å
α = 60.00°, β = 60.00°, γ = 60.00°
Each line ends with the local moment (μB).
Positions (direct):
Eu  0.250  0.250  0.250  6.86
Sb  0.500  0.500  0.500  -0.02
Tl  0.000  0.000  0.000  0.02
Sr  0.750  0.750  0.750  0.01

***

Number 1: D(E_F) 4.76 states/eV/f.u.. Number 2: D(E_F) 1.73 states/eV/f.u.. Number 3: D(E_F) 2.77 states/eV/f.u.. Number 4: D(E_F) 6.21 states/eV/f.u.. Number 5: D(E_F) 4.05 states/eV/f.u.. Number 6: D(E_F) 0.00 states/eV/f.u.. Number 7: D(E_F) 2.76 states/eV/f.u.. Number 8: D(E_F) 3.38 states/eV/f.u..